1.
## Li3SbO3 (PBE)

Data for a relaxed structure of Li3SbO3.

POSCAR file:
```
Li3SbO3
1.0
7.539 0.000 0.000
-2.513 7.107 0.000
-2.513 -3.554 6.155
Li Sb O
12 4 12
Direct
0.534 0.288 0.000
0.534 0.000 0.288
0.755 0.466 0.466
0.288 0.000 0.534
0.288 0.534 0.000
0.712 0.245 0.712
0.712 0.712 0.245
0.466 0.755 0.466
0.466 0.466 0.755
0.000 0.534 0.288
0.000 0.288 0.534
0.245 0.712 0.712
0.719 0.000 0.000
0.281 0.281 0.281
0.000 0.719 0.000
0.000 0.000 0.719
0.744 0.238 0.238
0.762 0.506 0.000
0.762 0.000 0.506
0.494 0.494 0.256
0.506 0.762 0.000
0.494 0.256 0.494
0.506 0.000 0.762
0.256 0.494 0.494
0.238 0.238 0.744
0.238 0.744 0.238
0.000 0.506 0.762
0.000 0.762 0.506
```

Properties
DOS at the Fermi energy	0.0	states/eV/cell
size of the total moment	0.000	μB/f.u.

***

2.
## Li3SbO3 (PBE)

Data for a relaxed structure of Li3SbO3.

POSCAR file:
```
Li3SbO3
1.0
-0.417 3.512 6.272
-6.967 1.352 -1.220
-1.773 -6.139 3.320
Li Sb O
12 4 12
Direct
0.966 0.966 0.966
0.265 0.235 0.765
0.255 0.755 0.745
0.245 0.245 0.245
0.235 0.765 0.265
0.534 0.034 0.466
0.466 0.534 0.034
0.765 0.265 0.235
0.755 0.745 0.255
0.745 0.255 0.755
0.735 0.735 0.735
0.034 0.466 0.534
0.020 0.980 0.480
0.480 0.020 0.980
0.520 0.520 0.520
0.980 0.480 0.020
0.993 0.241 0.399
0.101 0.007 0.741
0.241 0.399 0.993
0.259 0.601 0.493
0.399 0.993 0.241
0.507 0.759 0.899
0.493 0.259 0.601
0.601 0.493 0.259
0.741 0.101 0.007
0.759 0.899 0.507
0.899 0.507 0.759
0.007 0.741 0.101
```

Properties
DOS at the Fermi energy	0.0	states/eV/cell
size of the total moment	0.000	μB/f.u.

***

Which is the most stable structure? 1 is the most stable.

***

1.
## LiSbTe3O12 (PBE)

Data for a relaxed structure of LiSbTe3O12.

POSCAR file:
```
LiSbTe3O12
1.0
8.505 0.000 0.000
0.000 4.934 -0.009
0.000 0.034 5.254
Li Sb Te O
1 1 3 12
Direct
0.795 0.500 0.500
0.902 0.000 0.000
0.584 0.500 0.000
0.398 0.500 0.500
0.086 0.000 0.500
0.418 0.291 0.817
0.742 0.262 0.857
0.070 0.211 0.806
0.249 0.754 0.640
0.922 0.783 0.678
0.573 0.704 0.678
0.573 0.296 0.322
0.922 0.217 0.322
0.249 0.246 0.360
0.070 0.789 0.194
0.742 0.738 0.143
0.418 0.709 0.183
```

Properties
size of the total moment	0.000	μB/f.u.

***

2.
## LiSbTe3O12 (PBE)

Data for a relaxed structure of LiSbTe3O12.

POSCAR file:
```
LiSbTe3O12
1.0
5.123 0.000 0.001
0.001 5.334 0.002
-0.017 -0.437 7.390
Li Sb Te O
1 1 3 12
Direct
0.497 0.927 0.787
0.999 0.005 0.006
0.003 0.004 0.497
0.499 0.501 0.002
0.501 0.499 0.495
0.330 0.824 0.047
0.688 0.816 0.564
0.191 0.690 0.429
0.797 0.696 0.929
0.636 0.503 0.250
0.376 0.522 0.745
0.184 0.329 0.062
0.811 0.315 0.567
0.318 0.187 0.432
0.680 0.193 0.932
0.868 0.002 0.257
0.128 0.009 0.744
```

Properties
size of the total moment	0.000	μB/f.u.

***

3.
## LiSbTe3O12 (PBE)

Data for a relaxed structure of LiSbTe3O12.

POSCAR file:
```
LiSbTe3O12
1.0
8.550 0.000 0.000
0.000 4.923 0.017
0.000 0.070 5.239
Li Sb Te O
1 1 3 12
Direct
0.282 0.000 0.000
0.897 0.000 0.000
0.590 0.500 0.000
0.075 0.000 0.500
0.397 0.500 0.500
0.739 0.748 0.858
0.418 0.712 0.816
0.080 0.798 0.819
0.560 0.289 0.689
0.919 0.216 0.676
0.245 0.241 0.642
0.245 0.759 0.358
0.919 0.784 0.324
0.560 0.711 0.311
0.080 0.202 0.181
0.418 0.288 0.184
0.739 0.252 0.142
```

Properties
size of the total moment	0.000	μB/f.u.

***

Which is the most stable structure? 1 is the most stable.

***

1.
## LiSbTe2O (PBE)

Data for a relaxed structure of LiSbTe2O.

POSCAR file:
```
LiSbTe2O
1.0
4.763 0.000 0.000
0.000 4.763 0.000
0.000 0.000 5.051
Sb Te O Li
1 2 1 1
Direct
0.000 0.000 0.500
0.000 0.500 0.000
0.500 0.000 0.000
0.500 0.500 0.500
0.000 0.000 0.000
```

Properties
DOS at the Fermi energy	7.7	states/eV/cell
size of the total moment	0.000	μB/f.u.

***

2.
## LiSbTe2O (PBE)

Data for a relaxed structure of LiSbTe2O.

POSCAR file:
```
LiSbTe2O
1.0
-1.237 -0.941 -4.705
-1.025 -4.695 1.209
-4.432 1.205 0.924
Sb Te O Li
1 2 1 1
Direct
0.000 0.000 0.500
0.000 0.500 0.000
0.500 0.000 0.000
0.000 0.000 0.000
0.500 0.500 0.500
```

Properties
DOS at the Fermi energy	2.6	states/eV/cell
size of the total moment	0.000	μB/f.u.

***

Which is the most stable structure? 2 is the most stable.

***

1.
## Li4SbTe3O12 (PBE)

Data for a relaxed structure of Li4SbTe3O12.

POSCAR file:
```
Li4SbTe3O12
1.0
5.279 0.003 0.000
0.001 5.615 -0.025
0.000 -0.632 7.695
Li Sb Te O
4 1 3 12
Direct
0.992 0.428 0.283
0.506 0.926 0.790
0.004 0.421 0.795
0.498 0.916 0.288
0.000 0.996 0.003
0.999 0.999 0.501
0.501 0.495 0.003
0.498 0.488 0.506
0.297 0.179 0.421
0.137 0.018 0.741
0.324 0.835 0.053
0.172 0.708 0.420
0.810 0.701 0.921
0.372 0.514 0.755
0.625 0.522 0.247
0.168 0.322 0.054
0.848 0.321 0.557
0.702 0.191 0.924
0.863 0.028 0.255
0.683 0.851 0.556
```

Properties
DOS at the Fermi energy	2.3	states/eV/cell
size of the total moment	0.000	μB/f.u.

***

2.
## Li4SbTe3O12 (PBE)

Data for a relaxed structure of Li4SbTe3O12.

POSCAR file:
```
Li4SbTe3O12
1.0
9.185 0.000 0.000
0.000 5.148 0.031
0.000 0.418 5.201
Li Sb Te O
4 1 3 12
Direct
0.316 0.000 0.000
0.143 0.500 0.000
0.677 0.000 0.500
0.843 0.500 0.500
0.896 0.000 0.000
0.595 0.500 0.000
0.085 0.000 0.500
0.401 0.500 0.500
0.752 0.236 0.818
0.438 0.289 0.851
0.057 0.216 0.794
0.558 0.711 0.652
0.922 0.794 0.689
0.223 0.789 0.695
0.223 0.211 0.305
0.922 0.206 0.311
0.558 0.289 0.348
0.057 0.784 0.206
0.438 0.711 0.149
0.752 0.764 0.182
```

Properties
DOS at the Fermi energy	3.8	states/eV/cell
size of the total moment	0.677	μB/f.u.

***

Which is the most stable structure? 2 is the most stable.